Entry 1:
8
Lattice="-4.932 3.824 -0.497 -6.081 -0.440 -1.423 -1.699 -1.231 7.785" Properties=species:S:1:pos:R:3 comment="Ba2In3SnIr2 (GGA-PBE, optimized geometry)" spacegroup=Cm dft_energy_ev_per_atom=-4.627 pbc="T T T"
Ba -6.540 1.566 0.902
Ba -6.184 0.584 4.988
In -9.274 2.756 -1.187
In -9.994 2.296 1.828
In -3.418 -0.610 7.055
Ir -3.513 0.632 1.450
Ir -9.159 1.512 4.405
Sn -2.770 -0.126 4.019

=====

Entry 2:
8
Lattice="6.142 -2.229 0.000 6.142 2.229 0.000 -0.042 0.000 7.836" Properties=species:S:1:pos:R:3 comment="Ba2InSn3Ir2 (GGA-PBE, optimized geometry)" spacegroup=Cm dft_energy_ev_per_atom=-5.026 pbc="T T T"
Ba 5.458 0.000 1.941
Ba 6.782 0.000 5.874
In 10.268 0.000 4.330
Ir 8.810 0.000 1.924
Ir 3.398 0.000 5.930
Sn 1.992 0.000 0.440
Sn 2.038 0.000 3.511
Sn 10.222 0.000 7.393

=====

Entry 3:
8
Lattice="-7.465 -1.645 -2.649 -0.889 -3.824 4.878 -2.188 0.519 5.844" Properties=species:S:1:pos:R:3 comment="KBaIn4Pd2 (GGA-PBE, optimized geometry)" spacegroup=Amm2 dft_energy_ev_per_atom=-3.483 pbc="T T T"
Ba -5.112 -2.304 3.481
In -2.748 -1.028 0.925
In -5.707 -1.680 -0.125
In -3.990 -3.076 8.462
In -8.620 -4.096 6.818
K -1.705 -1.832 5.942
Pd -0.867 -0.931 3.021
Pd -5.954 -3.209 6.417

=====

Entry 4:
3
Lattice="-3.156 2.889 3.207 -1.762 4.791 -1.592 -5.159 0.678 -1.231" Properties=species:S:1:pos:R:3 comment="BaLuIn (GGA-PBE, optimized geometry)" spacegroup=F-43m dft_energy_ev_per_atom=-2.873 pbc="T T T"
Ba -2.519 2.090 0.096
In -7.558 6.269 0.288
Lu 0.000 0.000 0.000

=====

Entry 5:
18
Lattice="7.698 3.299 -4.964 -9.384 -0.181 2.585 2.527 8.839 9.795" Properties=species:S:1:pos:R:3 comment="Ba2LuInSe5 (GGA-PBE, optimized geometry)" spacegroup=Cmc2_1 dft_energy_ev_per_atom=-4.787 pbc="T T T"
Ba -6.905 1.830 3.464
Ba 6.207 5.600 -0.891
Ba 7.397 8.907 2.600
Ba -5.048 7.469 9.539
In 1.172 5.607 2.688
In 0.614 9.655 8.390
Lu 4.134 2.724 -3.191
Lu -4.465 5.134 6.065
Se 1.653 2.070 -2.290
Se 6.923 3.574 -4.053
Se -4.026 2.190 1.895
Se -0.249 3.896 1.453
Se 3.325 5.514 1.039
Se -2.075 5.472 4.814
Se -7.082 4.883 7.591
Se 4.381 8.065 3.636
Se 1.172 8.348 6.281
Se -1.862 8.619 8.787

=====

Entry 6:
10
Lattice="-2.308 1.423 3.982 -4.178 -1.466 -1.898 1.606 -10.762 4.778" Properties=species:S:1:pos:R:3 comment="BaMgIn2Pd (GGA-PBE, optimized geometry)" spacegroup=P4/nmm dft_energy_ev_per_atom=-3.283 pbc="T T T"
Ba -1.667 -3.564 0.308
Ba 0.029 -7.219 5.512
In -0.911 -0.919 2.715
In 0.803 -5.381 2.389
In -2.440 -5.402 3.431
In -0.727 -9.864 3.105
Mg 0.000 0.000 0.000
Mg -3.243 -0.021 1.042
Pd -0.540 -3.407 3.819
Pd -1.098 -7.377 2.000

=====

Entry 7:
5
Lattice="-1.173 3.839 5.558 -6.207 2.645 1.216 2.849 -6.014 -1.650" Properties=species:S:1:pos:R:3 comment="BaMgIn2Pt (GGA-PBE, optimized geometry)" spacegroup=I4mm relative_energy_ev_per_atom=0.034 pbc="T T T"
Ba -0.020 0.017 0.018
In -0.926 0.462 3.573
In -3.443 -0.134 1.402
Mg -2.953 2.595 2.711
Pt -4.570 4.015 4.195

=====

Entry 8:
8
Lattice="5.694 -2.279 0.000 5.694 2.279 0.000 -0.012 0.000 8.191" Properties=species:S:1:pos:R:3 comment="Ba2MgIn3Pt2 (GGA-PBE, optimized geometry)" spacegroup=Cm dft_energy_ev_per_atom=-3.854 pbc="T T T"
Ba 10.782 0.000 2.039
Ba 0.621 0.000 6.140
In 7.514 0.000 0.440
In 7.545 0.000 3.630
In 3.892 0.000 4.586
Mg 3.721 0.000 7.711
Pt 2.571 0.000 2.042
Pt 8.862 0.000 6.175